(1)
# In3Ni9S2, relaxed, DFT GGA-PBE
data_In3Ni9S2
_cell_length_a 5.3339
_cell_length_b 5.3339
_cell_length_c 15.9700
_cell_angle_alpha 90.00
_cell_angle_beta 90.00
_cell_angle_gamma 120.00
_symmetry_space_group_name_H-M 'P 1'
_symmetry_Int_Tables_number 1
loop_
_symmetry_equiv_pos_as_xyz
'x,y,z'
loop_
_atom_site_label
_atom_site_type_symbol
_atom_site_fract_x
_atom_site_fract_y
_atom_site_fract_z
_atom_site_occupancy
Ni1 Ni 0.4944 0.5056 0.2500 1
S1 S 0.3333 0.6667 0.8492 1
Ni2 Ni 0.1612 0.8388 0.9386 1
Ni3 Ni 0.1612 0.8388 0.5614 1
In1 In 0.0000 0.0000 0.2500 1
Ni4 Ni 0.6776 0.8388 0.5614 1
Ni5 Ni 0.8388 0.6776 0.0614 1
Ni6 Ni 0.3224 0.1612 0.4386 1
Ni7 Ni 0.8388 0.6776 0.4386 1
Ni8 Ni 0.5056 0.0113 0.7500 1
Ni9 Ni 0.3224 0.1612 0.0614 1
In2 In 0.6667 0.3333 0.9065 1
Ni10 Ni 0.1612 0.3224 0.5614 1
S2 S 0.6667 0.3333 0.3492 1
Ni11 Ni 0.1612 0.3224 0.9386 1
In3 In 0.6667 0.3333 0.5935 1
Ni12 Ni 0.9887 0.4944 0.7500 1
Ni13 Ni 0.4944 0.9887 0.2500 1
Ni14 Ni 0.8388 0.1612 0.0614 1
In4 In 0.0000 0.0000 0.7500 1
Ni15 Ni 0.6776 0.8388 0.9386 1
S3 S 0.3333 0.6667 0.6508 1
In5 In 0.3333 0.6667 0.0935 1
Ni16 Ni 0.5056 0.4944 0.7500 1
Ni17 Ni 0.0113 0.5056 0.2500 1
In6 In 0.3333 0.6667 0.4065 1
Ni18 Ni 0.8388 0.1612 0.4386 1
S4 S 0.6667 0.3333 0.1508 1
# * calculated volume: 393 Å³/cell
# * density of states at the Fermi level: 1.12 states/eV/atom
# * theoretical density: 7.9 g/cm3
# * formation energy from raw total energies: -1.08 eV/f.u.
# * uncorrected energy: -4.970 eV/atom
# * space group: P6_3/mmc

---

(2)
# In2NiS4, relaxed, DFT GGA-PBE
data_In2NiS4
_cell_length_a 7.5047
_cell_length_b 7.5047
_cell_length_c 7.5047
_cell_angle_alpha 121.16
_cell_angle_beta 119.67
_cell_angle_gamma 89.29
_symmetry_space_group_name_H-M 'P 1'
_symmetry_Int_Tables_number 1
loop_
_symmetry_equiv_pos_as_xyz
'x,y,z'
loop_
_atom_site_label
_atom_site_type_symbol
_atom_site_fract_x
_atom_site_fract_y
_atom_site_fract_z
_atom_site_occupancy
S1 S 0.7712 0.2780 0.0068 1
S2 S 0.2036 0.7448 0.4587 1
Ni1 Ni 0.0000 0.5000 0.0000 1
S3 S 0.7964 0.2552 0.5413 1
S4 S 0.2288 0.7220 0.9932 1
In1 In 0.6149 0.8649 0.7500 1
S5 S 0.7861 0.7448 0.0413 1
In2 In 0.5000 0.5000 0.0000 1
S6 S 0.2139 0.2552 0.9587 1
In3 In 0.0000 0.5000 0.5000 1
In4 In 0.3851 0.1351 0.2500 1
S7 S 0.2288 0.2356 0.5068 1
S8 S 0.7712 0.7644 0.4932 1
Ni2 Ni 0.0000 0.0000 0.5000 1
# * calculated volume: 297 Å³/cell
# * density of states at the Fermi level: 0.35 states/eV/atom
# * theoretical density: 4.7 g/cm3
# * formation energy from raw total energies: -2.92 eV/f.u.
# * uncorrected energy: -4.383 eV/atom
# * space group: Imma

---

(3)
# InNiS, relaxed, DFT GGA-PBE
data_InNiS
_cell_length_a 3.6260
_cell_length_b 7.4023
_cell_length_c 5.5999
_cell_angle_alpha 111.76
_cell_angle_beta 89.95
_cell_angle_gamma 60.71
_symmetry_space_group_name_H-M 'P 1'
_symmetry_Int_Tables_number 1
loop_
_symmetry_equiv_pos_as_xyz
'x,y,z'
loop_
_atom_site_label
_atom_site_type_symbol
_atom_site_fract_x
_atom_site_fract_y
_atom_site_fract_z
_atom_site_occupancy
S1 S 0.3715 0.6955 0.0302 1
In1 In 0.7764 0.2910 0.2746 1
Ni1 Ni 0.7489 0.3175 0.8210 1
S2 S 0.4724 0.0940 0.6901 1
Ni2 Ni 0.1104 0.9561 0.4326 1
In2 In 0.8952 0.6722 0.6757 1
# * calculated volume: 119 Å³/cell
# * density of states at the Fermi level: 0.48 states/eV/atom
# * theoretical density: 5.8 g/cm3
# * formation energy from raw total energies: -0.63 eV/f.u.
# * uncorrected energy: -4.427 eV/atom
# * excess energy over the best structure of this formula in the dataset: 60 meV per atom
# * space group: Pm

---

(4)
# In3NiS, relaxed, DFT GGA-PBE
data_In3NiS
_cell_length_a 5.2215
_cell_length_b 5.2215
_cell_length_c 5.2215
_cell_angle_alpha 90.00
_cell_angle_beta 90.00
_cell_angle_gamma 90.00
_symmetry_space_group_name_H-M 'P 1'
_symmetry_Int_Tables_number 1
loop_
_symmetry_equiv_pos_as_xyz
'x,y,z'
loop_
_atom_site_label
_atom_site_type_symbol
_atom_site_fract_x
_atom_site_fract_y
_atom_site_fract_z
_atom_site_occupancy
Ni1 Ni 0.5000 0.5000 0.5000 1
In1 In 0.0000 0.5000 0.0000 1
In2 In 0.0000 0.0000 0.5000 1
In3 In 0.5000 0.0000 0.0000 1
S1 S 0.0000 0.0000 0.0000 1
# * calculated volume: 142 Å³/cell
# * density of states at the Fermi level: 0.84 states/eV/atom
# * theoretical density: 5.1 g/cm3
# * formation energy from raw total energies: 3.62 eV/f.u.
# * uncorrected energy: -2.901 eV/atom
# * excess energy over the best structure of this formula in the dataset: 772 meV per atom
# * space group: Pm-3m

---

(5)
# In2NiS, relaxed, DFT GGA-PBE
data_In2NiS
_cell_length_a 6.6227
_cell_length_b 6.6227
_cell_length_c 6.4302
_cell_angle_alpha 59.00
_cell_angle_beta 59.00
_cell_angle_gamma 90.00
_symmetry_space_group_name_H-M 'P 1'
_symmetry_Int_Tables_number 1
loop_
_symmetry_equiv_pos_as_xyz
'x,y,z'
loop_
_atom_site_label
_atom_site_type_symbol
_atom_site_fract_x
_atom_site_fract_y
_atom_site_fract_z
_atom_site_occupancy
Ni1 Ni 0.7500 0.2500 0.5000 1
Ni2 Ni 0.0000 0.0000 0.0000 1
In1 In 0.3750 0.3617 0.7500 1
In2 In 0.1117 0.6250 0.2500 1
In3 In 0.6383 0.1250 0.2500 1
S1 S 0.5000 0.5000 0.0000 1
In4 In 0.8750 0.8883 0.7500 1
S2 S 0.2500 0.7500 0.5000 1
# * calculated volume: 193 Å³/cell
# * density of states at the Fermi level: 0.00 states/eV/atom
# * theoretical density: 5.5 g/cm3
# * formation energy from raw total energies: 0.17 eV/f.u.
# * uncorrected energy: -3.805 eV/atom
# * space group: I-42d

---

(6)
# InNiS2, relaxed, DFT GGA-PBE
data_InNiS2
_cell_length_a 3.7670
_cell_length_b 3.7670
_cell_length_c 6.6769
_cell_angle_alpha 90.00
_cell_angle_beta 90.00
_cell_angle_gamma 120.00
_symmetry_space_group_name_H-M 'P 1'
_symmetry_Int_Tables_number 1
loop_
_symmetry_equiv_pos_as_xyz
'x,y,z'
loop_
_atom_site_label
_atom_site_type_symbol
_atom_site_fract_x
_atom_site_fract_y
_atom_site_fract_z
_atom_site_occupancy
Ni1 Ni 0.0000 0.0000 0.9875 1
S1 S 0.0000 0.0000 0.3265 1
In1 In 0.6667 0.3333 0.5287 1
S2 S 0.6667 0.3333 0.9073 1
# * calculated volume: 82 Å³/cell
# * density of states at the Fermi level: 0.59 states/eV/atom
# * theoretical density: 4.8 g/cm3
# * formation energy from raw total energies: -1.46 eV/f.u.
# * uncorrected energy: -4.558 eV/atom
# * space group: P3m1

---

(7)
# InNi4S8, relaxed, DFT GGA-PBE
data_InNi4S8
_cell_length_a 6.9856
_cell_length_b 6.9856
_cell_length_c 6.9856
_cell_angle_alpha 60.00
_cell_angle_beta 60.00
_cell_angle_gamma 60.00
_symmetry_space_group_name_H-M 'P 1'
_symmetry_Int_Tables_number 1
loop_
_symmetry_equiv_pos_as_xyz
'x,y,z'
loop_
_atom_site_label
_atom_site_type_symbol
_atom_site_fract_x
_atom_site_fract_y
_atom_site_fract_z
_atom_site_occupancy
S1 S 0.1408 0.5777 0.1408 1
In1 In 0.7500 0.7500 0.7500 1
Ni1 Ni 0.8947 0.3684 0.3684 1
S2 S 0.5777 0.1408 0.1408 1
S3 S 0.1408 0.1408 0.1408 1
S4 S 0.6061 0.6061 0.6061 1
S5 S 0.6061 0.1816 0.6061 1
S6 S 0.6061 0.6061 0.1816 1
S7 S 0.1816 0.6061 0.6061 1
Ni2 Ni 0.3684 0.8947 0.3684 1
S8 S 0.1408 0.1408 0.5777 1
Ni3 Ni 0.3684 0.3684 0.3684 1
Ni4 Ni 0.3684 0.3684 0.8947 1
# * calculated volume: 241 Å³/cell
# * density of states at the Fermi level: 0.76 states/eV/atom
# * theoretical density: 4.2 g/cm3
# * formation energy from raw total energies: -3.34 eV/f.u.
# * uncorrected energy: -4.786 eV/atom
# * space group: F-43m

---

(8)
# InNi2S, relaxed, DFT GGA-PBE
data_InNi2S
_cell_length_a 4.3485
_cell_length_b 4.3485
_cell_length_c 4.3485
_cell_angle_alpha 60.00
_cell_angle_beta 60.00
_cell_angle_gamma 60.00
_symmetry_space_group_name_H-M 'P 1'
_symmetry_Int_Tables_number 1
loop_
_symmetry_equiv_pos_as_xyz
'x,y,z'
loop_
_atom_site_label
_atom_site_type_symbol
_atom_site_fract_x
_atom_site_fract_y
_atom_site_fract_z
_atom_site_occupancy
S1 S 0.0000 0.0000 0.0000 1
In1 In 0.5000 0.5000 0.5000 1
Ni1 Ni 0.7500 0.7500 0.7500 1
Ni2 Ni 0.2500 0.2500 0.2500 1
# * calculated volume: 58 Å³/cell
# * density of states at the Fermi level: 1.65 states/eV/atom
# * theoretical density: 7.5 g/cm3
# * formation energy from raw total energies: 0.80 eV/f.u.
# * uncorrected energy: -4.407 eV/atom
# * excess energy over the best structure of this formula in the dataset: 344 meV per atom
# * space group: Fm-3m